[1]
This record from Alexandria describes a relaxed HoMg2B2O6 crystal. The functional is PBE-GGA. Values from VASP.

The structure in Quantum ESPRESSO input format:
```
&SYSTEM
  ibrav = 0, nat = 11, ntyp = 4
/
ATOMIC_SPECIES
Ho 164.93 Ho.upf
Mg 24.30 Mg.upf
B 10.81 B.upf
O 16.00 O.upf
ATOMIC_POSITIONS crystal
Ho 0.0000 0.0000 0.0000
Mg 0.3333 0.6667 0.2878
Mg 0.6667 0.3333 0.7122
B 0.3333 0.6667 0.8145
B 0.6667 0.3333 0.1855
O 0.0540 0.6662 0.8177
O 0.3338 0.3877 0.8177
O 0.3877 0.0540 0.1823
O 0.6123 0.9460 0.8177
O 0.6662 0.6123 0.1823
O 0.9460 0.3338 0.1823
CELL_PARAMETERS angstrom
4.9668 0.0000 0.0000
-2.4834 4.3013 0.0000
0.0000 0.0000 7.6710
```

## Properties
The value obtained for the volume is 163.88 Å³ per cell. Its space group is No. 147. As for the density of states at the Fermi level: 1.104 states/eV/cell. The value obtained for the energy is -7.2137 eV per atom. The value obtained for the formation energy (no corrections) is -2.589 eV per atom.


[2]
This record from Alexandria describes a relaxed KHf3Mo crystal. The functional is PBE-GGA. Values from VASP.

The structure in Quantum ESPRESSO input format:
```
&SYSTEM
  ibrav = 0, nat = 5, ntyp = 3
/
ATOMIC_SPECIES
K 39.10 K.upf
Hf 178.49 Hf.upf
Mo 95.94 Mo.upf
ATOMIC_POSITIONS crystal
K 0.0000 0.0000 0.0000
Hf 0.0000 0.0000 0.5000
Hf 0.0000 0.5000 0.0000
Hf 0.5000 0.0000 0.0000
Mo 0.5000 0.5000 0.5000
CELL_PARAMETERS angstrom
4.7605 0.0000 0.0000
0.0000 4.7605 0.0000
0.0000 0.0000 4.7605
```

## Properties
The value obtained for the volume is 107.89 Å³ per cell. Its space group is No. 221. As for the density of states at the Fermi level: 7.484 states/eV/cell. Its formation energy is 231 kJ/mol of atoms. The value obtained for the energy is -5.9608 eV per atom.


> Which of these has the highest energy?

KHf3Mo


> The lowest energy belongs to which entry?

HoMg2B2O6


> energy of number 2 (KHf3Mo)?

-5.9608 eV per atom


> Which formula does entry 1 have?

HoMg2B2O6